No. 1
A relaxed NaYPd6O8 crystal, computed with PBE-GGA.

Properties
ρ	7.56	Mg/m³
final energy	-5.9862	eV per atom

Unit cell a=5.7775 b=5.7775 c=5.7775 alpha=90.00 beta=90.00 gamma=90.00
Atoms (fractional coordinates):
1 Na 0.0000 0.0000 0.0000
2 Y 0.5000 0.5000 0.5000
3 Pd 0.0000 0.5000 0.2484
4 Pd 0.0000 0.5000 0.7516
5 Pd 0.2484 0.0000 0.5000
6 Pd 0.5000 0.2484 0.0000
7 Pd 0.5000 0.7516 0.0000
8 Pd 0.7516 0.0000 0.5000
9 O 0.2586 0.2586 0.2586
10 O 0.2586 0.2586 0.7414
11 O 0.2586 0.7414 0.2586
12 O 0.2586 0.7414 0.7414
13 O 0.7414 0.2586 0.2586
14 O 0.7414 0.2586 0.7414
15 O 0.7414 0.7414 0.2586
16 O 0.7414 0.7414 0.7414



No. 2
A relaxed NaPm3O crystal, computed with PBE-GGA.

Properties
ρ	6.23	Mg/m³
final energy	-5.0229	eV per atom

Unit cell a=5.0170 b=5.0170 c=5.0170 alpha=90.00 beta=90.00 gamma=90.00
Atoms (fractional coordinates):
1 Na 0.0000 0.0000 0.0000
2 Pm 0.0000 0.5000 0.5000
3 Pm 0.5000 0.0000 0.5000
4 Pm 0.5000 0.5000 0.0000
5 O 0.5000 0.5000 0.5000



No. 3
A relaxed NaPmTeO crystal, computed with PBE-GGA.

Properties
ρ	5.69	Mg/m³
excess energy over the best structure of this formula in the dataset	0.000	eV per formula unit

Unit cell a=4.2432 b=4.2432 c=10.1007 alpha=90.00 beta=90.00 gamma=90.00
Atoms (fractional coordinates):
1 Na 0.2500 0.7500 0.0000
2 Na 0.7500 0.2500 0.0000
3 Pm 0.2500 0.2500 0.3955
4 Pm 0.7500 0.7500 0.6045
5 Te 0.2500 0.2500 0.7875
6 Te 0.7500 0.7500 0.2125
7 O 0.2500 0.7500 0.5000
8 O 0.7500 0.2500 0.5000